(1)
VASP calculation (PBE-GGA) on a relaxed structure of La6Pm5Dy2.

Calculated values
ΔE_f in kJ per mole of atoms: 9

Lattice parameters (Å, degrees): 3.6781 11.8852 21.2162 90.00 90.00 90.00
Element x y z (fractional)
La: 0.5000 0.6737 0.8623
La: 0.0000 0.9172 0.6325
La: 0.0000 0.0828 0.3675
La: 0.0000 0.4172 0.8675
La: 0.0000 0.0636 0.0802
La: 0.0000 0.4364 0.5802
La: 0.0000 0.5828 0.1325
La: 0.0000 0.5636 0.4198
La: 0.5000 0.1737 0.6377
La: 0.5000 0.8263 0.3623
La: 0.0000 0.9364 0.9198
La: 0.5000 0.3263 0.1377
Pm: 0.5000 0.4080 0.7269
Pm: 0.5000 0.1966 0.9429
Pm: 0.5000 0.5000 0.0000
Pm: 0.5000 0.9080 0.7731
Pm: 0.5000 0.3034 0.4429
Pm: 0.5000 0.8034 0.0571
Pm: 0.5000 0.0920 0.2269
Pm: 0.5000 0.5920 0.2731
Pm: 0.5000 0.0000 0.5000
Pm: 0.5000 0.6966 0.5571
Dy: 0.0000 0.1657 0.7898
Dy: 0.0000 0.8343 0.2102
Dy: 0.0000 0.6657 0.7102
Dy: 0.0000 0.3343 0.2898


(2)
VASP calculation (PBE-GGA) on a relaxed structure of BaReAg2.

Calculated values
ΔE_f in kJ per mole of atoms: 81
Energy above the lowest structure with this stoichiometry in kJ/mol of formula units: 15

Lattice parameters (Å, degrees): 2.9716 4.1024 7.5267 90.00 90.00 90.00
Element x y z (fractional)
Re: 0.5000 0.5000 0.8162
Ba: 0.0000 0.0000 0.5152
Ag: 0.5000 0.5000 0.1872
Ag: 0.0000 0.0000 0.9814


(3)
VASP calculation (PBE-GGA) on a relaxed structure of Co2Se.

Calculated values
Uncorrected formation energy in eV per atom: 0.06
Energy above the lowest structure with this stoichiometry in kJ/mol of formula units: 55

Lattice parameters (Å, degrees): 5.4057 5.4057 5.4057 90.00 90.00 90.00
Each line ends with the local moment (μB).
Element x y z (fractional)
Co: 0.2500 0.2500 0.7500  0.20
Co: 0.2500 0.7500 0.2500  0.20
Co: 0.7500 0.7500 0.7500  0.20
Co: 0.2500 0.7500 0.7500  0.20
Co: 0.7500 0.7500 0.2500  0.20
Co: 0.7500 0.2500 0.2500  0.20
Co: 0.2500 0.2500 0.2500  0.20
Co: 0.7500 0.2500 0.7500  0.20
Se: 0.0000 0.5000 0.5000  0.00
Se: 0.5000 0.0000 0.5000  0.00
Se: 0.0000 0.0000 0.0000  0.00
Se: 0.5000 0.5000 0.0000  0.00


(4)
VASP calculation (PBE-GGA) on a relaxed structure of Pb2WN.

Calculated values
Uncorrected formation energy in eV per atom: 1.54

Lattice parameters (Å, degrees): 6.9287 6.9287 5.9042 54.07 54.07 90.00
Each line ends with the local moment (μB).
Element x y z (fractional)
Pb: 0.8750 0.8138 0.7500  -0.02
Pb: 0.3750 0.4362 0.7500  -0.02
Pb: 0.5638 0.1250 0.2500  -0.01
Pb: 0.1862 0.6250 0.2500  -0.01
W: 0.0000 0.0000 0.0000  0.84
W: 0.7500 0.2500 0.5000  0.84
N: 0.5000 0.5000 0.0000  0.00
N: 0.2500 0.7500 0.5000  0.00


(5)
VASP calculation (PBE-GGA) on a relaxed structure of LiAg2Te2.

Calculated values
Uncorrected formation energy in eV per atom: -0.11
Energy above the lowest structure with this stoichiometry in kJ/mol of formula units: 82

Lattice parameters (Å, degrees): 5.5377 5.5377 5.8789 61.90 61.90 90.00
Element x y z (fractional)
Ag: 0.3280 0.3280 0.3441
Ag: 0.6720 0.6720 0.6559
Te: 0.2500 0.7500 0.5000
Te: 0.7500 0.2500 0.5000
Li: 0.0000 0.0000 0.0000


(6)
VASP calculation (PBE-GGA) on a relaxed structure of NiMoW2.

Calculated values
ΔE_f in kJ per mole of atoms: 23
Energy above the lowest structure with this stoichiometry in kJ/mol of formula units: 71

Lattice parameters (Å, degrees): 2.6370 4.0767 5.6113 90.00 90.00 90.00
Element x y z (fractional)
Ni: 0.5000 0.5000 0.7519
W: 0.0000 0.0000 0.9862
W: 0.5000 0.5000 0.2504
Mo: 0.0000 0.0000 0.5115